VASP calculation (PBE-GGA) on Ba3LiBe after structural relaxation.

Cell and atoms, written as POSCAR:
```
Ba3LiBe
1.0
6.364 0.000 0.000
0.000 6.364 0.000
0.000 0.000 6.364
Be Ba Li
1 3 1
direct
0.000 0.000 0.000
0.000 0.500 0.000
0.000 0.000 0.500
0.500 0.000 0.000
0.500 0.500 0.500
```

excess energy over the best structure of this formula in the dataset = 0.000 eV per atom
calculated formation energy = 0.3548 eV per atom
raw total energy = -1.927 eV per atom

---

VASP calculation (PBE-GGA) on Tl6InSn2 after structural relaxation.

Cell and atoms, written as POSCAR:
```
Tl6InSn2
1.0
5.420 0.188 0.264
2.533 4.796 0.264
-0.500 -0.313 10.582
Tl In Sn
6 1 2
direct
0.002 0.002 0.831
0.332 0.332 0.276
0.668 0.668 0.724
0.335 0.335 0.612
0.665 0.665 0.388
0.998 0.998 0.169
0.000 0.000 0.500
0.334 0.334 0.949
0.666 0.666 0.051
```

excess energy over the best structure of this formula in the dataset = 0.000 eV per atom
calculated formation energy = 0.0125 eV per atom
raw total energy = -2.759 eV per atom

---

VASP calculation (PBE-GGA) on Co2TcBr after structural relaxation.

Cell and atoms, written as POSCAR:
```
Co2TcBr
1.0
5.782 0.000 0.000
0.000 5.782 0.000
2.891 2.891 4.370
Co Tc Br
4 2 2
direct
0.644 0.125 0.250
0.106 0.625 0.250
0.375 0.356 0.750
0.875 0.894 0.750
0.000 0.000 0.000
0.750 0.250 0.500
0.500 0.500 0.000
0.250 0.750 0.500
```

excess energy over the best structure of this formula in the dataset = 0.413 eV per atom
energy relative to the elements, uncorrected = 0.93 eV per atom
raw total energy = -5.637 eV per atom

---

VASP calculation (PBE-GGA) on La2Er5Tm2 after structural relaxation.

Cell and atoms, written as POSCAR:
```
La2Er5Tm2
1.0
-2.904 -4.278 -10.619
6.174 -2.534 -0.667
-3.893 -2.930 8.813
La Er Tm
4 10 4
direct
0.127 0.689 0.254
0.873 0.435 0.746
0.627 0.189 0.254
0.373 0.935 0.746
0.203 0.651 0.894
0.797 0.757 0.106
0.192 0.151 0.894
0.808 0.257 0.106
0.376 0.027 0.286
0.624 0.741 0.714
0.410 0.527 0.286
0.590 0.241 0.714
0.006 0.663 0.500
0.994 0.163 0.500
0.000 0.017 0.000
0.500 0.517 0.000
0.261 0.356 0.500
0.739 0.856 0.500
```

excess energy over the best structure of this formula in the dataset = 0.112 eV per atom
calculated formation energy = 0.2149 eV per atom
raw total energy = -4.409 eV per atom

---

VASP calculation (PBE-GGA) on TmZrGaPt after structural relaxation.

Cell and atoms, written as POSCAR:
```
TmZrGaPt
1.0
4.850 0.000 0.000
2.425 4.200 0.000
2.425 1.400 3.960
Ga Tm Zr Pt
1 1 1 1
direct
0.500 0.500 0.500
0.250 0.250 0.250
0.750 0.750 0.750
0.000 0.000 0.000
```

calculated formation energy = -0.7283 eV per atom
raw total energy = -6.250 eV per atom

---

VASP calculation (PBE-GGA) on Li2AcHgPb2 after structural relaxation.

Cell and atoms, written as POSCAR:
```
Li2AcHgPb2
1.0
-1.190 -4.741 -0.528
4.128 -1.296 2.335
-3.277 0.167 5.889
Li Ac Hg Pb
2 1 1 2
direct
0.500 0.000 0.000
0.000 0.500 0.000
0.000 0.000 0.500
0.000 0.000 0.000
0.500 0.500 0.731
0.500 0.500 0.269
```

calculated formation energy = -0.3151 eV per atom
raw total energy = -2.924 eV per atom

---

raw total energy of number 3 (Co2TcBr)? -5.637 eV per atom